Record 1
A plane-wave DFT calculation with GGA-PBE was carried out for a relaxed structure of CaZnSeN2.

## Properties
Its symmetry is P4/mmm, No. 123. For the excess energy over the best structure of this formula in the dataset, the calculation gives 0.000 eV/atom. Its density of states at the Fermi level is 1.8 states/eV/cell. For the calculated volume, the calculation gives 90 Å³/cell. The formation energy from raw total energies comes out at 578 meV/atom. For the total magnetic moment, the calculation gives 3.44 μB/f.u.

Unit cell a=4.0787 b=4.0787 c=5.3941 alpha=90.00 beta=90.00 gamma=90.00
Sites, in units of the cell vectors:
1 N 0.0000 0.5000 0.0000
2 Se 0.0000 0.0000 0.5000
3 Zn 0.0000 0.0000 0.0000
4 Ca 0.5000 0.5000 0.5000
5 N 0.5000 0.0000 0.0000

=====

Record 2
A plane-wave DFT calculation with GGA-PBE was carried out for a relaxed structure of Y2Tl3CrSe6.

## Properties
Its symmetry is C2/m, No. 12. Its density of states at the Fermi level is 0.3 states/eV/cell. For the calculated volume, the calculation gives 331 Å³/cell. The formation energy from raw total energies comes out at -1051 meV/atom. For the total magnetic moment, the calculation gives 3.01 μB/f.u.

Unit cell a=7.0290 b=7.0290 c=8.0765 alpha=98.33 beta=98.33 gamma=119.95
Sites, in units of the cell vectors:
1 Cr 0.0000 0.0000 0.0000
2 Se 0.7606 0.7606 0.2026
3 Se 0.6295 0.9356 0.8061
4 Tl 0.1758 0.8242 0.5000
5 Tl 0.8242 0.1758 0.5000
6 Se 0.0644 0.3705 0.1939
7 Y 0.6659 0.3341 0.0000
8 Se 0.3705 0.0644 0.1939
9 Y 0.3341 0.6659 0.0000
10 Tl 0.5000 0.5000 0.5000
11 Se 0.9356 0.6295 0.8061
12 Se 0.2394 0.2394 0.7974

=====

Respective final energy values: -4.10, -5.26 eV/atom.